## AlMo2Au (PBE)

Data for a geometry-optimized AlMo2Au structure.

Energy of formation   0.57 eV/atom
Volume   277.1 Å³ per cell
Total DFT energy (no corrections)   -6.603 eV/atom

Cell: 7.2515 7.2515 5.2690 Å, 90.00 90.00 90.00°
With the nearest neighbours (Å) after each atom.
Sites, in units of the cell vectors:
Al: 0.0000 0.0000 0.0000  4 Mo 2.59, 2 Au 2.63
Al: 0.0000 0.5000 0.2500  4 Mo 2.59, 2 Au 2.63
Al: 0.5000 0.0000 0.7500  4 Mo 2.59, 2 Au 2.63
Al: 0.5000 0.5000 0.5000  4 Mo 2.59, 2 Au 2.63
Mo: 0.2384 0.2500 0.1250  2 Al 2.59, 2 Mo 2.64, 2 Au 2.71
Mo: 0.2500 0.7384 0.3750  2 Al 2.59, 2 Mo 2.64, 2 Au 2.71
Mo: 0.2500 0.7616 0.8750  2 Al 2.59, 2 Mo 2.64, 2 Au 2.71
Mo: 0.2616 0.2500 0.6250  2 Al 2.59, 2 Mo 2.64, 2 Au 2.71
Mo: 0.7384 0.7500 0.6250  2 Al 2.59, 2 Mo 2.64, 2 Au 2.71
Mo: 0.7500 0.2384 0.8750  2 Al 2.59, 2 Mo 2.64, 2 Au 2.71
Mo: 0.7500 0.2616 0.3750  2 Al 2.59, 2 Mo 2.64, 2 Au 2.71
Mo: 0.7616 0.7500 0.1250  2 Al 2.59, 2 Mo 2.64, 2 Au 2.71
Au: 0.0000 0.0000 0.5000  2 Al 2.63, 4 Mo 2.71
Au: 0.0000 0.5000 0.7500  2 Al 2.63, 4 Mo 2.71
Au: 0.5000 0.0000 0.2500  2 Al 2.63, 4 Mo 2.71
Au: 0.5000 0.5000 0.0000  2 Al 2.63, 4 Mo 2.71

***

## AlMo2Au (PBE)

Data for a geometry-optimized AlMo2Au structure.

Energy of formation   0.10 eV/atom
Volume   65.0 Å³ per cell
Total DFT energy (no corrections)   -7.070 eV/atom

Cell: 2.7326 4.1618 5.7111 Å, 90.00 90.00 90.00°
With the nearest neighbours (Å) after each atom.
Sites, in units of the cell vectors:
Al: 0.0000 0.0000 0.0000  2 Al 2.73, 6 Mo 2.75-2.96, 4 Au 2.83
Mo: 0.0000 0.0000 0.5185  6 Mo 2.73-2.79, 2 Al 2.75-2.96, 4 Au 2.97
Mo: 0.5000 0.5000 0.7404  6 Mo 2.73-2.79, 2 Au 2.83-2.88, 4 Al 2.90
Au: 0.5000 0.5000 0.2361  2 Au 2.73, 6 Mo 2.83-2.97, 4 Al 2.83

***

## AlMo2Au (PBE)

Data for a geometry-optimized AlMo2Au structure.

Energy of formation   0.00 eV/atom
Volume   64.1 Å³ per cell
Total DFT energy (no corrections)   -7.174 eV/atom

Cell: 2.7696 4.3490 5.3199 Å, 90.00 90.00 90.00°
With the nearest neighbours (Å) after each atom.
Sites, in units of the cell vectors:
Al: 0.0000 0.0000 0.0000  2 Au 2.66, 2 Al 2.77, 8 Mo 2.87
Mo: 0.5000 0.5000 0.2353  3 Mo 2.50-2.77
Mo: 0.5000 0.5000 0.7647  3 Mo 2.50-2.77
Au: 0.0000 0.0000 0.5000  2 Al 2.66, 2 Au 2.77, 8 Mo 2.94

***

## AlMo2Au (PBE)

Data for a geometry-optimized AlMo2Au structure.

Energy of formation   0.18 eV/atom
Volume   194.5 Å³ per cell
Total DFT energy (no corrections)   -6.988 eV/atom

Cell: 2.8346 2.8346 27.9496 Å, 90.00 90.00 120.00°
With the nearest neighbours (Å) after each atom.
Sites, in units of the cell vectors:
Al: 0.0000 0.0000 0.0000  6 Mo 2.78, 6 Al 2.83
Al: 0.3333 0.6667 0.6667  6 Mo 2.78, 6 Al 2.83
Al: 0.6667 0.3333 0.3333  6 Mo 2.78, 6 Al 2.83
Mo: 0.0000 0.0000 0.2527  3 Al 2.78, 6 Mo 2.83, 3 Au 2.91
Mo: 0.0000 0.0000 0.7473  3 Al 2.78, 6 Mo 2.83, 3 Au 2.91
Mo: 0.3333 0.6667 0.4140  3 Al 2.78, 6 Mo 2.83, 3 Au 2.91
Mo: 0.3333 0.6667 0.9194  3 Al 2.78, 6 Mo 2.83, 3 Au 2.91
Mo: 0.6667 0.3333 0.0806  3 Al 2.78, 6 Mo 2.83, 3 Au 2.91
Mo: 0.6667 0.3333 0.5860  3 Al 2.78, 6 Mo 2.83, 3 Au 2.91
Au: 0.0000 0.0000 0.5000  6 Au 2.83, 6 Mo 2.91
Au: 0.3333 0.6667 0.1667  6 Au 2.83, 6 Mo 2.91
Au: 0.6667 0.3333 0.8333  6 Au 2.83, 6 Mo 2.91

***

Repeat the third record exactly.
## AlMo2Au (PBE)

Data for a geometry-optimized AlMo2Au structure.

Energy of formation   0.00 eV/atom
Volume   64.1 Å³ per cell
Total DFT energy (no corrections)   -7.174 eV/atom

Cell: 2.7696 4.3490 5.3199 Å, 90.00 90.00 90.00°
With the nearest neighbours (Å) after each atom.
Sites, in units of the cell vectors:
Al: 0.0000 0.0000 0.0000  2 Au 2.66, 2 Al 2.77, 8 Mo 2.87
Mo: 0.5000 0.5000 0.2353  3 Mo 2.50-2.77
Mo: 0.5000 0.5000 0.7647  3 Mo 2.50-2.77
Au: 0.0000 0.0000 0.5000  2 Al 2.66, 2 Au 2.77, 8 Mo 2.94